Record 1
Material: PrNi12Sb6
Method: DFT, PBE
State: optimized geometry

Results
As for the formation energy without anion corrections: -0.092 eV/atom.

a b c (Å): 10.6509 10.6509 9.7528
angles (deg): 90.00 90.00 120.00
Space group R-3m (No. 166, hexagonal axes)
Asymmetric unit:
Pr1 0.0000 0.0000 0.0000 [3 per cell]
Ni1 0.0000 0.3830 0.5000 [18 per cell]
Ni2 0.0799 0.1599 0.2647 [18 per cell]
Sb1 0.0526 0.5263 0.2759 [18 per cell]

Record 2
Material: PrNi2Sb
Method: DFT, PBE
State: optimized geometry

Results
As for the formation energy without anion corrections: -0.526 eV/atom.

a b c (Å): 4.3494 4.3494 9.5152
angles (deg): 90.00 90.00 120.00
Space group P6_3/mmc (No. 194)
Asymmetric unit:
Pr1 0.3333 0.6667 0.2500 [2 per cell]
Ni1 0.3333 0.6667 0.5636 [4 per cell]
Sb1 0.0000 0.0000 0.0000 [2 per cell]

Record 3
Material: PrNiSb3
Method: DFT, PBE
State: optimized geometry

Results
As for the formation energy without anion corrections: -0.619 eV/atom. The value obtained for the relative energy among the computed polymorphs is 0.0 meV per atom.

a b c (Å): 12.7665 6.2930 18.4999
angles (deg): 90.00 90.00 90.00
Space group Pbcm (No. 57)
Asymmetric unit:
Pr1 0.1951 0.0573 0.2500 [4 per cell]
Pr2 0.2010 0.5266 0.0835 [8 per cell]
Ni1 0.3980 0.2500 0.0000 [4 per cell]
Ni2 0.4010 0.6756 0.6757 [8 per cell]
Sb1 0.0036 0.2500 0.0000 [4 per cell]
Sb2 0.0035 0.7055 0.6661 [8 per cell]
Sb3 0.2765 0.0259 0.0841 [8 per cell]
Sb4 0.2803 0.5534 0.2500 [4 per cell]
Sb5 0.4434 0.1811 0.2500 [4 per cell]
Sb6 0.4745 0.5395 0.0867 [8 per cell]

> The lowest formation energy without anion corrections belongs to which entry?

PrNiSb3

> Which value of formation energy without anion corrections does entry 2 give?

-0.526 eV/atom

Copy entry 1 word for word.
Material: PrNi12Sb6
Method: DFT, PBE
State: optimized geometry

Results
As for the formation energy without anion corrections: -0.092 eV/atom.

a b c (Å): 10.6509 10.6509 9.7528
angles (deg): 90.00 90.00 120.00
Space group R-3m (No. 166, hexagonal axes)
Asymmetric unit:
Pr1 0.0000 0.0000 0.0000 [3 per cell]
Ni1 0.0000 0.3830 0.5000 [18 per cell]
Ni2 0.0799 0.1599 0.2647 [18 per cell]
Sb1 0.0526 0.5263 0.2759 [18 per cell]

> formation energy without anion corrections of number 2 (PrNi2Sb)?

-0.526 eV/atom